Rb2ErW3O12, relaxed, DFT PBE with a Hubbard U; E_tot = -126.837 eV for the cell shown
1.0
-4.833 4.019 -4.302
-0.133 -0.833 -7.570
-5.886 -3.364 -3.471
Rb Er W O
2 1 3 12
Direct
0.634 0.634 0.634
0.366 0.366 0.366
0.000 0.000 0.000
0.500 0.000 0.000
0.000 0.500 0.000
0.000 0.000 0.500
0.302 0.302 0.933
0.924 0.924 0.352
0.352 0.924 0.924
0.933 0.302 0.302
0.924 0.352 0.924
0.302 0.933 0.302
0.698 0.698 0.067
0.076 0.076 0.648
0.648 0.076 0.076
0.067 0.698 0.698
0.076 0.648 0.076
0.698 0.067 0.698